# V4IrRh2, relaxed, DFT GGA-PBE
data_V4IrRh2
_chemical_formula_sum 'V8 Ir2 Rh4'
_cell_length_a 4.5605
_cell_length_b 4.5605
_cell_length_c 12.3281
_cell_angle_alpha 90.00
_cell_angle_beta 90.00
_cell_angle_gamma 90.00
_symmetry_space_group_name_H-M 'I 4/m m m'
_symmetry_Int_Tables_number 139
_symmetry_space_group_name_Hall '-I 4 2'
loop_
_atom_site_label
_atom_site_type_symbol
_atom_site_fract_x
_atom_site_fract_y
_atom_site_fract_z
_atom_site_occupancy
V1 V 0.0000 0.0000 0.1983 1
V2 V 0.0000 0.5000 0.0000 1
Ir1 Ir 0.0000 0.0000 0.0000 1
Rh1 Rh 0.0000 0.0000 0.3871 1
# formation energy from the elements = 701 meV/atom

***

# Ac3Pb2I, relaxed, DFT GGA-PBE
data_Ac3Pb2I
_chemical_formula_sum 'Ac12 Pb8 I4'
_cell_length_a 5.0544
_cell_length_b 16.6779
_cell_length_c 10.8467
_cell_angle_alpha 90.00
_cell_angle_beta 90.00
_cell_angle_gamma 90.00
_symmetry_space_group_name_H-M 'C m c m'
_symmetry_Int_Tables_number 63
_symmetry_space_group_name_Hall '-C 2c 2'
loop_
_atom_site_label
_atom_site_type_symbol
_atom_site_fract_x
_atom_site_fract_y
_atom_site_fract_z
_atom_site_occupancy
Ac1 Ac 0.0000 0.1387 0.2500 1
Ac2 Ac 0.0000 0.3560 0.0411 1
Pb1 Pb 0.0000 0.0000 0.0000 1
Pb2 Pb 0.0000 0.4927 0.7500 1
I1 I 0.0000 0.2148 0.7500 1
# energy above the lowest structure with this stoichiometry = 0.1383 eV/atom
# formation energy without anion corrections = -493 meV/atom

***

# ZnSn2N, relaxed, DFT GGA-PBE
data_ZnSn2N
_chemical_formula_sum 'Zn4 Sn8 N4'
_cell_length_a 5.7331
_cell_length_b 5.7331
_cell_length_c 10.8343
_cell_angle_alpha 90.00
_cell_angle_beta 90.00
_cell_angle_gamma 90.00
_symmetry_space_group_name_H-M 'I -4 2 d'
_symmetry_Int_Tables_number 122
_symmetry_space_group_name_Hall 'I -4 2bw'
loop_
_atom_site_label
_atom_site_type_symbol
_atom_site_fract_x
_atom_site_fract_y
_atom_site_fract_z
_atom_site_occupancy
Zn1 Zn 0.0000 0.0000 0.0000 1
Sn1 Sn 0.1876 0.2500 0.6250 1
N1 N 0.0000 0.0000 0.5000 1
# energy above the lowest structure with this stoichiometry = 0.0000 eV/atom
# formation energy without anion corrections = 329 meV/atom

***

# HfBePd2N, relaxed, DFT GGA-PBE
data_HfBePd2N
_chemical_formula_sum 'Hf1 Be1 Pd2 N1'
_cell_length_a 4.7273
_cell_length_b 4.7273
_cell_length_c 3.1473
_cell_angle_alpha 90.00
_cell_angle_beta 90.00
_cell_angle_gamma 90.00
_symmetry_space_group_name_H-M 'P 4/m m m'
_symmetry_Int_Tables_number 123
_symmetry_space_group_name_Hall '-P 4 2'
loop_
_atom_site_label
_atom_site_type_symbol
_atom_site_fract_x
_atom_site_fract_y
_atom_site_fract_z
_atom_site_occupancy
Hf1 Hf 0.0000 0.0000 0.0000 1
Be1 Be 0.5000 0.5000 0.0000 1
Pd1 Pd 0.0000 0.5000 0.5000 1
N1 N 0.5000 0.5000 0.5000 1
# formation energy without anion corrections = -127 meV/atom

***

# TlOsRu2, relaxed, DFT GGA-PBE
data_TlOsRu2
_chemical_formula_sum 'Tl1 Os1 Ru2'
_cell_length_a 2.8592
_cell_length_b 2.8592
_cell_length_c 7.8403
_cell_angle_alpha 90.00
_cell_angle_beta 90.00
_cell_angle_gamma 90.00
_symmetry_space_group_name_H-M 'P 4/m m m'
_symmetry_Int_Tables_number 123
_symmetry_space_group_name_Hall '-P 4 2'
loop_
_atom_site_label
_atom_site_type_symbol
_atom_site_fract_x
_atom_site_fract_y
_atom_site_fract_z
_atom_site_occupancy
Tl1 Tl 0.0000 0.0000 0.0000 1
Os1 Os 0.0000 0.0000 0.5000 1
Ru1 Ru 0.5000 0.5000 0.2780 1
# energy above the lowest structure with this stoichiometry = 0.0000 eV/atom
# formation energy from the elements = 409 meV/atom

***

# BiOs3W, relaxed, DFT GGA-PBE
data_BiOs3W
_chemical_formula_sum 'Bi1 Os3 W1'
_cell_length_a 4.7798
_cell_length_b 4.7798
_cell_length_c 4.7798
_cell_angle_alpha 90.00
_cell_angle_beta 90.00
_cell_angle_gamma 90.00
_symmetry_space_group_name_H-M 'P m -3 m'
_symmetry_Int_Tables_number 221
_symmetry_space_group_name_Hall '-P 4 2 3'
loop_
_atom_site_label
_atom_site_type_symbol
_atom_site_fract_x
_atom_site_fract_y
_atom_site_fract_z
_atom_site_occupancy
Bi1 Bi 0.0000 0.0000 0.0000 1
Os1 Os 0.0000 0.5000 0.5000 1
W1 W 0.5000 0.5000 0.5000 1
# formation energy from the elements = 1965 meV/atom

***

# Tl12ZnHg3, relaxed, DFT GGA-PBE
data_Tl12ZnHg3
_chemical_formula_sum 'Tl12 Zn1 Hg3'
_cell_length_a 4.9598
_cell_length_b 4.9598
_cell_length_c 19.1882
_cell_angle_alpha 90.00
_cell_angle_beta 90.00
_cell_angle_gamma 90.00
_symmetry_space_group_name_H-M 'P 4/m m m'
_symmetry_Int_Tables_number 123
_symmetry_space_group_name_Hall '-P 4 2'
loop_
_atom_site_label
_atom_site_type_symbol
_atom_site_fract_x
_atom_site_fract_y
_atom_site_fract_z
_atom_site_occupancy
Tl1 Tl 0.0000 0.0000 0.0000 1
Tl2 Tl 0.0000 0.0000 0.2452 1
Tl3 Tl 0.0000 0.0000 0.5000 1
Tl4 Tl 0.0000 0.5000 0.1190 1
Tl5 Tl 0.0000 0.5000 0.3729 1
Zn1 Zn 0.5000 0.5000 0.0000 1
Hg1 Hg 0.5000 0.5000 0.2459 1
Hg2 Hg 0.5000 0.5000 0.5000 1
# formation energy from the elements = 57 meV/atom

***

# Tb6Nd2SmDy, relaxed, DFT GGA-PBE
data_Tb6Nd2SmDy
_chemical_formula_sum 'Tb24 Nd8 Sm4 Dy4'
_cell_length_a 9.0752
_cell_length_b 15.1243
_cell_length_c 9.7673
_cell_angle_alpha 90.00
_cell_angle_beta 98.91
_cell_angle_gamma 90.00
_symmetry_space_group_name_H-M 'C 1 2/c 1'
_symmetry_Int_Tables_number 15
loop_
_symmetry_equiv_pos_as_xyz
'x,y,z'
'-x,-y,-z'
'-x,y,-z+1/2'
'x,-y,z+1/2'
'x+1/2,y+1/2,z'
'-x+1/2,-y+1/2,-z'
'-x+1/2,y+1/2,-z+1/2'
'x+1/2,-y+1/2,z+1/2'
loop_
_atom_site_label
_atom_site_type_symbol
_atom_site_fract_x
_atom_site_fract_y
_atom_site_fract_z
_atom_site_occupancy
Tb1 Tb 0.0671 0.1900 0.4431 1
Tb2 Tb 0.1003 0.3944 0.6200 1
Tb3 Tb 0.2028 0.2235 0.8133 1
Nd1 Nd 0.2450 0.0510 0.0421 1
Sm1 Sm 0.0000 0.0180 0.7500 1
Dy1 Dy 0.0000 0.4070 0.2500 1
# formation energy from the elements = 116 meV/atom

***

no.,mass density (g/cm³),size of the total moment (μB/f.u.)
1,7.795,3.87
2,8.879,0.00
3,5.910,0.00
4,9.783,0.00
5,15.461,0.00
6,14.651,0.00
7,10.975,0.00
8,7.798,0.00